Here is a relaxed structure of Cr2IrRu from Alexandria via LeMat-Bulk. Energies are from GGA-PBEsol.

The structure in POSCAR format:
```
Cr2IrRu
1.0
2.648 0.000 0.000
0.000 3.927 0.000
-1.324 0.000 4.814
Ru Ir Cr
1 1 2
Cartesian
1.324 1.964 2.826
0.000 0.000 4.362
0.000 0.000 1.796
0.000 1.964 0.586
```

Total magnetization, μB/f.u.: 0.00
Formation energy from the elements, eV per atom: -0.028
SG: Amm2, No. 38
Total energy, Ry/atom: -0.74589